1.
The following is a DFT calculation (GGA-PBEsol) of a relaxed K3TePd crystal.

Cell and atoms, written as CIF:
```
data_K3TePd
_chemical_formula_sum 'K3 Te1 Pd1'
_space_group_name_H-M_alt 'P m -3 m'
_space_group_IT_number 221
_space_group_name_Hall '-P 4 2 3'
_cell_length_a 5.715
_cell_length_b 5.715
_cell_length_c 5.715
_cell_angle_alpha 90.00
_cell_angle_beta 90.00
_cell_angle_gamma 90.00
loop_
_atom_site_label
_atom_site_type_symbol
_atom_site_fract_x
_atom_site_fract_y
_atom_site_fract_z
K1 K 0.000 0.000 0.500
Te1 Te 0.500 0.500 0.500
Pd1 Pd 0.000 0.000 0.000
```

- calculated volume (A^3/atom) = 37.34
- formation energy without anion corrections (eV per atom) = -0.08
- calculated density (g cm⁻³) = 3.1
- DOS(E_F) (states/eV/f.u.) = 4.4


2.
The following is a DFT calculation (GGA-PBEsol) of a relaxed CoMo2 crystal.

Cell and atoms, written as CIF:
```
data_CoMo2
_chemical_formula_sum 'Co4 Mo8'
_space_group_name_H-M_alt 'C 1 m 1'
_space_group_IT_number 8
_cell_length_a 9.827
_cell_length_b 2.699
_cell_length_c 6.388
_cell_angle_alpha 90.00
_cell_angle_beta 105.85
_cell_angle_gamma 90.00
loop_
_space_group_symop_operation_xyz
'x,y,z'
'x,-y,z'
'x+1/2,y+1/2,z'
'x+1/2,-y+1/2,z'
loop_
_atom_site_label
_atom_site_type_symbol
_atom_site_fract_x
_atom_site_fract_y
_atom_site_fract_z
Co1 Co 0.000 0.000 0.000
Co2 Co 0.168 0.500 0.322
Mo1 Mo 0.067 0.000 0.597
Mo2 Mo 0.207 0.500 0.953
Mo3 Mo 0.339 0.000 0.663
Mo4 Mo 0.395 0.000 0.258
```

- calculated volume (A^3/atom) = 13.58
- energy of formation from the pure elements (eV/atom) = 0.21
- calculated density (g cm⁻³) = 10.2
- DOS(E_F) (states/eV/f.u.) = 3.0


3.
The following is a DFT calculation (GGA-PBEsol) of a relaxed Ba2NiBRu crystal.

Cell and atoms, written as CIF:
```
data_Ba2NiBRu
_chemical_formula_sum 'Ba2 Ni1 B1 Ru1'
_space_group_name_H-M_alt 'P 4/m m m'
_space_group_IT_number 123
_space_group_name_Hall '-P 4 2'
_cell_length_a 5.741
_cell_length_b 5.741
_cell_length_c 4.314
_cell_angle_alpha 90.00
_cell_angle_beta 90.00
_cell_angle_gamma 90.00
loop_
_atom_site_label
_atom_site_type_symbol
_atom_site_fract_x
_atom_site_fract_y
_atom_site_fract_z
Ba1 Ba 0.000 0.500 0.000
Ni1 Ni 0.000 0.000 0.000
B1 B 0.500 0.500 0.500
Ru1 Ru 0.000 0.000 0.500
```

- calculated volume (A^3/atom) = 28.44
- energy of formation from the pure elements (eV/atom) = 1.22
- calculated density (g cm⁻³) = 5.2
- DOS(E_F) (states/eV/f.u.) = 5.3


4.
The following is a DFT calculation (GGA-PBEsol) of a relaxed ThB4Ru4 crystal.

Cell and atoms, written as CIF:
```
data_ThB4Ru4
_chemical_formula_sum 'Th8 B32 Ru32'
_space_group_name_H-M_alt 'I 41/a c d'
_space_group_IT_number 142
_cell_length_a 7.485
_cell_length_b 7.485
_cell_length_c 15.082
_cell_angle_alpha 90.00
_cell_angle_beta 90.00
_cell_angle_gamma 90.00
loop_
_space_group_symop_operation_xyz
'x,y,z'
'-x,-y,-z'
'-y+1/4,x+3/4,z+1/4'
'y+1/4,-x+3/4,-z+1/4'
'-x+1/2,-y,z+1/2'
'x+1/2,y,-z+1/2'
'y+1/4,-x+1/4,z+3/4'
'-y+1/4,x+1/4,-z+3/4'
'x,-y,-z+1/2'
'-x,y,z+1/2'
'-y+1/4,-x+1/4,-z+1/4'
'y+1/4,x+1/4,z+1/4'
'-x+1/2,y,-z'
'x+1/2,-y,z'
'y+1/4,x+3/4,-z+3/4'
'-y+1/4,-x+3/4,z+3/4'
'x+1/2,y+1/2,z+1/2'
'-x+1/2,-y+1/2,-z+1/2'
'-y+3/4,x+1/4,z+3/4'
'y+3/4,-x+1/4,-z+3/4'
'-x,-y+1/2,z'
'x,y+1/2,-z'
'y+3/4,-x+3/4,z+1/4'
'-y+3/4,x+3/4,-z+1/4'
'x+1/2,-y+1/2,-z'
'-x+1/2,y+1/2,z'
'-y+3/4,-x+3/4,-z+3/4'
'y+3/4,x+3/4,z+3/4'
'-x,y+1/2,-z+1/2'
'x,-y+1/2,z+1/2'
'y+3/4,x+1/4,-z+1/4'
'-y+3/4,-x+1/4,z+1/4'
loop_
_atom_site_label
_atom_site_type_symbol
_atom_site_fract_x
_atom_site_fract_y
_atom_site_fract_z
Th1 Th 0.000 0.250 0.125
B1 B 0.147 0.083 0.293
Ru1 Ru 0.115 0.105 0.436
```

- calculated volume (A^3/atom) = 11.74
- energy of formation from the pure elements (eV/atom) = -0.58
- calculated density (g cm⁻³) = 10.7
- DOS(E_F) (states/eV/f.u.) = 2.4


What is the formula in the first record?
K3TePd


The highest DOS(E_F) belongs to which entry?
Ba2NiBRu